The following is a GGA+U calculation of a relaxed Li5Mn7O15 crystal, from Alexandria.

Computed properties:
calculated volume	10.928	A^3/atom
space group	Cm, No. 8
Fermi-level density of states	4.48	states/eV/f.u.
E	-6.671	eV per atom

Structure (CIF):
```
data_Li5Mn7O15
_chemical_formula_sum 'Li5 Mn7 O15'
_cell_length_a 5.9309
_cell_length_b 5.9309
_cell_length_c 10.0049
_cell_angle_alpha 74.30
_cell_angle_beta 74.30
_cell_angle_gamma 62.08
_symmetry_space_group_name_H-M 'P 1'
_symmetry_Int_Tables_number 1
loop_
_symmetry_equiv_pos_as_xyz
'x,y,z'
loop_
_atom_site_label
_atom_site_type_symbol
_atom_site_fract_x
_atom_site_fract_y
_atom_site_fract_z
_atom_site_occupancy
Mn1 Mn 0.2262 0.7556 0.7604 1
Mn2 Mn 0.5070 0.5070 0.9923 1
Mn3 Mn 0.9998 0.9998 0.5058 1
Mn4 Mn 0.7556 0.2262 0.7604 1
Mn5 Mn 0.7525 0.2524 0.2488 1
Mn6 Mn 0.2533 0.2533 0.2483 1
Mn7 Mn 0.2524 0.7525 0.2488 1
O1 O 0.3917 0.8291 0.8713 1
O2 O 0.1217 0.6727 0.6208 1
O3 O 0.8291 0.3917 0.8713 1
O4 O 0.1283 0.1283 0.1387 1
O5 O 0.6077 0.6077 0.1284 1
O6 O 0.3768 0.3768 0.3592 1
O7 O 0.3406 0.9073 0.3659 1
O8 O 0.5973 0.1662 0.1319 1
O9 O 0.6727 0.1217 0.6208 1
O10 O 0.3992 0.3992 0.8580 1
O11 O 0.1079 0.1079 0.6348 1
O12 O 0.1662 0.5973 0.1319 1
O13 O 0.9073 0.3406 0.3659 1
O14 O 0.8964 0.8964 0.3705 1
O15 O 0.8819 0.8819 0.8722 1
Li1 Li 0.8126 0.8126 0.0663 1
Li2 Li 0.7014 0.7014 0.3981 1
Li3 Li 0.7568 0.7568 0.7661 1
Li4 Li 0.3176 0.3176 0.5650 1
Li5 Li 0.1835 0.1835 0.9324 1
```